! KPuNpCl6, optimized geometry, DFT PBE; values from VASP
&SYSTEM
  ibrav = 0, nat = 18, ntyp = 4
/
ATOMIC_SPECIES
K 39.10 K.upf
Pu 244.00 Pu.upf
Np 237.00 Np.upf
Cl 35.45 Cl.upf
ATOMIC_POSITIONS angstrom
K 0.000 0.000 0.000
K 0.000 0.000 6.858
Pu 0.000 4.180 3.429
Pu 3.620 2.090 10.286
Np 0.000 4.180 10.286
Np 3.620 2.090 3.429
Cl -1.301 2.294 8.733
Cl -2.284 3.996 11.840
Cl 1.301 2.294 11.840
Cl -0.983 6.249 8.733
Cl 2.637 0.020 1.875
Cl 1.336 2.273 4.982
Cl 2.284 3.996 8.733
Cl 0.983 6.249 11.840
Cl 4.602 0.020 4.982
Cl 2.319 3.976 1.875
Cl 5.903 2.273 1.875
Cl 4.920 3.976 4.982
CELL_PARAMETERS angstrom
7.239 0.000 0.000
-3.620 6.269 0.000
0.000 0.000 13.715
! total magnetization	20.000	μB per cell
! E	-111.91	eV for the cell shown
! formation energy without anion corrections	-16.5	eV/f.u.